Computed, not measured: a relaxed structure of Sn2BCS at the PBE level of DFT.

uncorrected formation energy = 0.42 eV per atom
crystal system = tetragonal
density of states at the Fermi level = 1.82 states/eV/f.u.

a = 5.483 Å, b = 5.483 Å, c = 2.975 Å
α = 90.00°, β = 90.00°, γ = 90.00°
Atoms (fractional coordinates):
Sn (0.000, 0.500, 0.000)
Sn (0.500, 0.000, 0.000)
B (0.000, 0.000, 0.500)
C (0.000, 0.000, 0.000)
S (0.500, 0.500, 0.500)

Computed, not measured: a relaxed structure of Th4BCS2 at the PBE level of DFT.

uncorrected formation energy = -1.11 eV per atom
crystal system = monoclinic
density of states at the Fermi level = 4.85 states/eV/f.u.

a = 6.779 Å, b = 3.922 Å, c = 7.094 Å
α = 90.00°, β = 108.65°, γ = 90.00°
Atoms (fractional coordinates):
Th (0.234, 0.000, 0.215)
Th (0.256, 0.500, 0.783)
Th (0.744, 0.500, 0.217)
Th (0.766, 0.000, 0.785)
B (0.500, 0.000, 0.000)
C (0.000, 0.500, 0.000)
S (0.000, 0.000, 0.500)
S (0.500, 0.500, 0.500)